1.
# RbTlIn2Te4

An optimized crystal structure of RbTlIn2Te4 (GGA-PBE, Alexandria).

Lattice parameters (Å, degrees): 7.626 8.481 9.002 90.00 90.00 90.00
Space group I222 (No. 23)
Inequivalent atoms, fractional coordinates:
Rb (0.000, 0.000, 0.000) (multiplicity 2)
Tl (0.000, 0.000, 0.500) (multiplicity 2)
In (0.000, 0.500, 0.327) (multiplicity 4)
Te (0.236, 0.194, 0.676) (multiplicity 8)

VASP energy (eV/atom): -3.01

2.
# RbTmInTe3

An optimized crystal structure of RbTmInTe3 (GGA-PBE, Alexandria).

Lattice parameters (Å, degrees): 9.570 4.287 11.947 90.00 109.61 90.00
Space group P2_1/m (No. 11)
Inequivalent atoms, fractional coordinates:
Rb (0.228, 0.250, 0.280) (multiplicity 2)
Tm (0.365, 0.750, 0.847) (multiplicity 2)
In (0.123, 0.250, 0.572) (multiplicity 2)
Te (0.123, 0.250, 0.812) (multiplicity 2)
Te (0.341, 0.750, 0.581) (multiplicity 2)
Te (0.398, 0.750, 0.109) (multiplicity 2)

VASP energy (eV/atom): -3.90

3.
# Rb3Tm2InTe6

An optimized crystal structure of Rb3Tm2InTe6 (GGA-PBE, Alexandria).

Lattice parameters (Å, degrees): 7.773 13.459 8.937 90.00 106.87 90.00
Space group C2/m (No. 12)
Inequivalent atoms, fractional coordinates:
Rb (0.000, 0.000, 0.000) (multiplicity 2)
Rb (0.000, 0.332, 0.000) (multiplicity 4)
Tm (0.000, 0.166, 0.500) (multiplicity 4)
In (0.000, 0.500, 0.500) (multiplicity 2)
Te (0.230, 0.335, 0.695) (multiplicity 8)
Te (0.235, 0.000, 0.696) (multiplicity 4)

VASP energy (eV/atom): -3.87

no.,E_form (uncorrected) (eV per atom)
1,-0.34
2,-0.96
3,-1.08